Computed, not measured: a relaxed Ca2Pm2PrY6 crystal at the PBE level of DFT.

Results
Total DFT energy (no corrections), eV per atom: -5.017
Crystal system: monoclinic
ΔH_f (0 K), eV per atom: 0.171

a b c (Å): 6.2529 6.2529 12.2436
angles (deg): 95.53 95.53 120.43
Positions (direct):
Pr  0.0000  0.0000  0.5000
Ca  0.1645  0.8355  0.0000
Y  0.2438  0.2438  0.2612
Y  0.0908  0.4240  0.7428
Pm  0.6671  0.3329  0.5000
Y  0.5760  0.9092  0.2572
Y  0.7562  0.7562  0.7388
Y  0.9092  0.5760  0.2572
Pm  0.3329  0.6671  0.5000
Y  0.4240  0.0908  0.7428
Ca  0.8355  0.1645  0.0000

=====

Computed, not measured: a relaxed AlV2Zn2 crystal at the PBE level of DFT.

Results
ΔE to the lowest computed polymorph, eV per atom: 0.000
Total DFT energy (no corrections), eV per atom: -4.743
Crystal system: tetragonal
ΔH_f (0 K), eV per atom: 0.163

a b c (Å): 6.6021 6.6021 3.3868
angles (deg): 90.00 90.00 90.00
Positions (direct):
Zn  0.3694  0.8694  0.0000
Zn  0.8694  0.6306  0.0000
Al  0.5000  0.5000  0.0000
V  0.1688  0.6688  0.5000
V  0.8312  0.3312  0.5000
V  0.3312  0.1688  0.5000
V  0.6688  0.8312  0.5000
Al  0.0000  0.0000  0.0000
Zn  0.6306  0.1306  0.0000
Zn  0.1306  0.3694  0.0000

=====

Computed, not measured: a relaxed Tl4Sb3Au5 crystal at the PBE level of DFT.

Results
Total DFT energy (no corrections), eV per atom: -3.206
Uncorrected formation energy, kJ/mol of formula units: -25
Crystal system: triclinic

a b c (Å): 5.8772 8.0978 8.7992
angles (deg): 107.10 125.39 79.66
Positions (direct):
Au  0.4170  0.8275  0.9381
Tl  0.9020  0.1265  0.8417
Au  0.0000  0.5000  0.0000
Sb  0.6708  0.1094  0.3759
Tl  0.0980  0.8735  0.1583
Au  0.5830  0.1725  0.0619
Tl  0.8372  0.6069  0.6265
Au  0.8071  0.7575  0.3357
Au  0.1929  0.2425  0.6643
Sb  0.3292  0.8906  0.6241
Tl  0.1628  0.3931  0.3735
Sb  0.5000  0.5000  0.0000

=====

Computed, not measured: a relaxed Nd2Ga2Ni15 crystal at the PBE level of DFT.

Results
Total DFT energy (no corrections), eV per atom: -5.621
Crystal system: trigonal
ΔH_f (0 K), eV per atom: -0.237

a b c (Å): 6.3616 6.3616 6.3616
angles (deg): 82.68 82.68 82.68
Positions (direct):
Ni  0.7059  0.0000  0.2941
Ni  0.1512  0.6571  0.6571
Ga  0.8974  0.8974  0.8974
Ni  0.7059  0.2941  0.0000
Nd  0.3488  0.3488  0.3488
Nd  0.6512  0.6512  0.6512
Ni  0.3429  0.3429  0.8488
Ni  0.2941  0.0000  0.7059
Ni  0.0000  0.7059  0.2941
Ni  0.2941  0.7059  0.0000
Ni  0.8488  0.3429  0.3429
Ni  0.0000  0.5000  0.0000
Ni  0.6571  0.6571  0.1512
Ga  0.1026  0.1026  0.1026
Ni  0.6571  0.1512  0.6571
Ni  0.3429  0.8488  0.3429
Ni  0.0000  0.2941  0.7059
Ni  0.0000  0.0000  0.5000
Ni  0.5000  0.0000  0.0000

=====

Computed, not measured: a relaxed MnBe3Te crystal at the PBE level of DFT.

Results
ΔE to the lowest computed polymorph, eV per atom: 0.000
Total DFT energy (no corrections), eV per atom: -3.737
Uncorrected formation energy, kJ/mol of formula units: 464
Crystal system: cubic

a b c (Å): 4.1925 4.1925 4.1925
angles (deg): 90.00 90.00 90.00
Positions (direct):
Te  0.5000  0.5000  0.5000
Be  0.0000  0.0000  0.5000
Mn  0.0000  0.0000  0.0000
Be  0.0000  0.5000  0.0000
Be  0.5000  0.0000  0.0000

=====

Computed, not measured: a relaxed TlSF2 crystal at the PBE level of DFT.

Results
ΔE to the lowest computed polymorph, eV per atom: 0.415
Total DFT energy (no corrections), eV per atom: -3.065
Uncorrected formation energy, kJ/mol of formula units: -195
Crystal system: cubic

a b c (Å): 4.6019 4.6019 4.6019
angles (deg): 60.00 60.00 60.00
Positions (direct):
F  0.2500  0.2500  0.2500
S  0.0000  0.0000  0.0000
F  0.7500  0.7500  0.7500
Tl  0.5000  0.5000  0.5000

=====

Computed, not measured: a relaxed HfNp3U2P6 crystal at the PBE level of DFT.

Results
Total DFT energy (no corrections), eV per atom: -9.626
Crystal system: monoclinic
ΔH_f (0 K), eV per atom: -0.975

a b c (Å): 6.7883 6.7883 6.7136
angles (deg): 99.68 99.68 120.56
Positions (direct):
Np  0.5000  0.5000  0.5000
P  0.2426  0.2426  0.7548
U  0.6661  0.3339  0.0000
Np  0.8308  0.1692  0.5000
P  0.0801  0.4059  0.2410
P  0.4059  0.0801  0.2410
P  0.9199  0.5941  0.7590
P  0.5941  0.9199  0.7590
Hf  0.0000  0.0000  0.0000
U  0.3339  0.6661  0.0000
Np  0.1692  0.8308  0.5000
P  0.7574  0.7574  0.2452

=====

Computed, not measured: a relaxed RbSeN2 crystal at the PBE level of DFT.

Results
Total DFT energy (no corrections), eV per atom: -4.338
Uncorrected formation energy, kJ/mol of formula units: 362
Crystal system: orthorhombic

a b c (Å): 2.9472 7.1655 14.8425
angles (deg): 90.00 90.00 90.00
Positions (direct):
Rb  0.2165  0.7500  0.6786
N  0.7829  0.4122  0.1255
N  0.7171  0.0878  0.6255
Rb  0.2835  0.7500  0.1786
N  0.7171  0.4122  0.6255
Rb  0.7165  0.2500  0.8214
Se  0.7177  0.7500  0.9209
N  0.7829  0.0878  0.1255
N  0.2171  0.5878  0.8745
Se  0.2177  0.2500  0.5791
N  0.2829  0.9122  0.3745
Se  0.2823  0.2500  0.0791
Rb  0.7835  0.2500  0.3214
Se  0.7823  0.7500  0.4209
N  0.2829  0.5878  0.3745
N  0.2171  0.9122  0.8745

=====

Computed, not measured: a relaxed YNbBr crystal at the PBE level of DFT.

Results
ΔE to the lowest computed polymorph, eV per atom: 0.355
Total DFT energy (no corrections), eV per atom: -6.361
Uncorrected formation energy, kJ/mol of formula units: -85
Crystal system: monoclinic

a b c (Å): 7.5840 3.7386 12.7524
angles (deg): 90.00 121.75 90.00
Positions (direct):
Nb  0.6337  0.0000  0.2817
Y  0.0000  0.0000  0.0000
Br  0.8134  0.5000  0.6463
Nb  0.6337  0.5000  0.7817
Br  0.8134  0.0000  0.1463
Br  0.1866  0.5000  0.3537
Nb  0.3663  0.5000  0.2183
Br  0.1866  0.0000  0.8537
Y  0.0000  0.5000  0.5000
Y  0.5000  0.5000  0.0000
Y  0.5000  0.0000  0.5000
Nb  0.3663  0.0000  0.7183

=====

Computed, not measured: a relaxed AsPbBr crystal at the PBE level of DFT.

Results
ΔE to the lowest computed polymorph, eV per atom: 0.534
Total DFT energy (no corrections), eV per atom: -3.221
Uncorrected formation energy, kJ/mol of formula units: 35
Crystal system: trigonal

a b c (Å): 5.0521 5.0521 3.6404
angles (deg): 90.00 90.00 120.00
Positions (direct):
Br  0.6667  0.3333  0.3119
Pb  0.3333  0.6667  0.7638
As  0.0000  0.0000  0.9242

=====

Computed, not measured: a relaxed MgBeSb2 crystal at the PBE level of DFT.

Results
ΔE to the lowest computed polymorph, eV per atom: 0.242
Total DFT energy (no corrections), eV per atom: -3.064
Uncorrected formation energy, kJ/mol of formula units: 126
Crystal system: orthorhombic

a b c (Å): 4.0546 5.4183 4.0071
angles (deg): 90.00 90.00 90.00
Positions (direct):
Mg  0.0000  0.5000  0.5000
Be  0.5000  0.0000  0.5000
Sb  0.5000  0.5000  0.0000
Sb  0.0000  0.0000  0.0000

=====

Computed, not measured: a relaxed Ba2LaRu crystal at the PBE level of DFT.

Results
ΔE to the lowest computed polymorph, eV per atom: 0.016
Total DFT energy (no corrections), eV per atom: -4.435
Crystal system: orthorhombic
ΔH_f (0 K), eV per atom: 0.077

a b c (Å): 7.2290 7.2290 7.2290
angles (deg): 147.96 127.04 63.26
Positions (direct):
Ba  0.0652  0.0652  0.0000
Ru  0.2828  0.7828  0.5000
Ba  0.7412  0.2412  0.5000
La  0.4109  0.4109  0.0000

=====

Computed, not measured: a relaxed NaTl2Ir2 crystal at the PBE level of DFT.

Results
ΔE to the lowest computed polymorph, eV per atom: 0.066
Total DFT energy (no corrections), eV per atom: -4.392
Crystal system: tetragonal
ΔH_f (0 K), eV per atom: 0.363

a b c (Å): 4.8854 4.8854 6.0453
angles (deg): 66.17 66.17 90.00
Positions (direct):
Na  0.0000  0.0000  0.0000
Tl  0.2500  0.7500  0.5000
Tl  0.7500  0.2500  0.5000
Ir  0.6199  0.6199  0.7603
Ir  0.3801  0.3801  0.2397

=====

Computed, not measured: a relaxed Cd2CoP crystal at the PBE level of DFT.

Results
Total DFT energy (no corrections), eV per atom: -3.635
Crystal system: trigonal
ΔH_f (0 K), eV per atom: -0.048

a b c (Å): 8.9413 8.9413 8.9413
angles (deg): 19.73 19.73 19.73
Positions (direct):
Co  0.4860  0.4860  0.4860
P  0.7728  0.7728  0.7728
Cd  0.2348  0.2348  0.2348
Cd  0.0063  0.0063  0.0063

=====

Computed, not measured: a relaxed TlIn5Ga4 crystal at the PBE level of DFT.

Results
Total DFT energy (no corrections), eV per atom: -2.778
Crystal system: tetragonal
ΔH_f (0 K), eV per atom: 0.038

a b c (Å): 3.3685 3.3685 21.4178
angles (deg): 90.00 90.00 90.00
Positions (direct):
In  0.5000  0.5000  0.1196
Tl  0.0000  0.0000  0.0000
In  0.5000  0.5000  0.6890
In  0.5000  0.5000  0.5000
Ga  0.0000  0.0000  0.5932
Ga  0.0000  0.0000  0.4068
Ga  0.0000  0.0000  0.7866
In  0.5000  0.5000  0.8804
In  0.5000  0.5000  0.3110
Ga  0.0000  0.0000  0.2134

=====

Computed, not measured: a relaxed PPdRuO2 crystal at the PBE level of DFT.

Results
ΔE to the lowest computed polymorph, eV per atom: 0.930
Total DFT energy (no corrections), eV per atom: -5.296
Uncorrected formation energy, kJ/mol of formula units: 320
Crystal system: tetragonal

a b c (Å): 3.7429 3.7429 5.4109
angles (deg): 90.00 90.00 90.00
Positions (direct):
O  0.5000  0.0000  0.0000
P  0.0000  0.0000  0.5000
Pd  0.0000  0.0000  0.0000
Ru  0.5000  0.5000  0.5000
O  0.0000  0.5000  0.0000

=====

Computed, not measured: a relaxed CaHgW2 crystal at the PBE level of DFT.

Results
Total DFT energy (no corrections), eV per atom: -6.235
Crystal system: tetragonal
ΔH_f (0 K), eV per atom: 0.817

a b c (Å): 4.9248 3.9792 3.9792
angles (deg): 90.00 90.00 90.00
Positions (direct):
W  0.0000  0.5000  0.5000
Ca  0.5000  0.5000  0.0000
W  0.0000  0.0000  0.0000
Hg  0.5000  0.0000  0.5000

=====

Computed, not measured: a relaxed LiTiAl2 crystal at the PBE level of DFT.

Results
Total DFT energy (no corrections), eV per atom: -4.596
Crystal system: tetragonal
ΔH_f (0 K), eV per atom: -0.273

a b c (Å): 3.8510 4.0335 4.0335
angles (deg): 90.00 90.00 90.00
Positions (direct):
Ti  0.5000  0.5000  0.5000
Li  0.5000  0.0000  0.0000
Al  0.0000  0.5000  0.0000
Al  0.0000  0.0000  0.5000

=====

Computed, not measured: a relaxed Ac2CdAg2Pd5 crystal at the PBE level of DFT.

Results
Total DFT energy (no corrections), eV per atom: -4.565
Crystal system: tetragonal
ΔH_f (0 K), eV per atom: -0.485

a b c (Å): 4.0958 10.1405 10.1405
angles (deg): 90.00 90.00 90.00
Positions (direct):
Cd  0.0000  0.5000  0.5000
Ag  0.0000  0.1223  0.6223
Pd  0.5000  0.4431  0.2994
Ac  0.0000  0.8234  0.6766
Ag  0.0000  0.8777  0.3777
Pd  0.5000  0.0000  0.5000
Ac  0.0000  0.3234  0.8234
Pd  0.5000  0.5000  0.0000
Ac  0.0000  0.1766  0.3234
Pd  0.5000  0.7994  0.9431
Pd  0.5000  0.2994  0.5569
Pd  0.5000  0.9431  0.2006
Ag  0.0000  0.6223  0.8777
Cd  0.0000  0.0000  0.0000
Ag  0.0000  0.3777  0.1223
Pd  0.5000  0.5569  0.7006
Pd  0.5000  0.0569  0.7994
Pd  0.5000  0.7006  0.4431
Pd  0.5000  0.2006  0.0569
Ac  0.0000  0.6766  0.1766

=====

Computed, not measured: a relaxed AcMn4Sb12 crystal at the PBE level of DFT.

Results
Total DFT energy (no corrections), eV per atom: -5.456
Uncorrected formation energy, kJ/mol of formula units: -242
Crystal system: cubic

a b c (Å): 8.0972 8.0972 8.0972
angles (deg): 109.47 109.47 109.47
Positions (direct):
Sb  0.8251  0.1616  0.6635
Sb  0.6635  0.8251  0.1616
Mn  0.5000  0.0000  0.0000
Sb  0.6635  0.5018  0.8384
Sb  0.1749  0.8384  0.3365
Sb  0.5018  0.8384  0.6635
Mn  0.0000  0.5000  0.0000
Sb  0.3365  0.4982  0.1616
Mn  0.5000  0.5000  0.5000
Sb  0.1616  0.6635  0.8251
Sb  0.4982  0.1616  0.3365
Ac  0.0000  0.0000  0.0000
Sb  0.3365  0.1749  0.8384
Mn  0.0000  0.0000  0.5000
Sb  0.8384  0.3365  0.1749
Sb  0.8384  0.6635  0.5018
Sb  0.1616  0.3365  0.4982

=====

Computed, not measured: a relaxed Y2TlOs crystal at the PBE level of DFT.

Results
ΔE to the lowest computed polymorph, eV per atom: 0.418
Total DFT energy (no corrections), eV per atom: -6.520
Crystal system: cubic
ΔH_f (0 K), eV per atom: 0.111

a b c (Å): 4.9811 4.9811 4.9811
angles (deg): 60.00 60.00 60.00
Positions (direct):
Y  0.0000  0.0000  0.0000
Y  0.2500  0.2500  0.2500
Os  0.5000  0.5000  0.5000
Tl  0.7500  0.7500  0.7500

=====

Computed, not measured: a relaxed CrTe2Ir crystal at the PBE level of DFT.

Results
ΔE to the lowest computed polymorph, eV per atom: 0.359
Total DFT energy (no corrections), eV per atom: -5.905
Uncorrected formation energy, kJ/mol of formula units: 111
Crystal system: tetragonal

a b c (Å): 5.9160 5.9160 7.6237
angles (deg): 67.17 67.17 90.00
Positions (direct):
Cr  0.5000  0.5000  0.0000
Te  0.6418  0.1250  0.2500
Te  0.8750  0.8918  0.7500
Ir  0.0000  0.0000  0.0000
Ir  0.7500  0.2500  0.5000
Te  0.1082  0.6250  0.2500
Cr  0.2500  0.7500  0.5000
Te  0.3750  0.3582  0.7500

=====

Computed, not measured: a relaxed NaTmCd14 crystal at the PBE level of DFT.

Results
Total DFT energy (no corrections), eV per atom: -1.242
Crystal system: tetragonal
ΔH_f (0 K), eV per atom: -0.079

a b c (Å): 6.5020 6.5020 8.7239
angles (deg): 90.00 90.00 90.00
Positions (direct):
Cd  0.6240  0.1260  0.7557
Cd  0.1260  0.1260  0.7556
Cd  0.6240  0.6240  0.2444
Cd  0.1260  0.6240  0.2443
Cd  0.6240  0.6240  0.7556
Cd  0.3750  0.3750  0.0000
Cd  0.8750  0.3750  0.0000
Cd  0.1260  0.1260  0.2444
Tm  0.8750  0.8750  0.5000
Cd  0.3750  0.8750  0.5000
Cd  0.8750  0.3750  0.5000
Cd  0.1260  0.6240  0.7557
Cd  0.3750  0.8750  0.0000
Cd  0.8750  0.8750  0.0000
Cd  0.6240  0.1260  0.2443
Na  0.3750  0.3750  0.5000